BaRe2Au after structural relaxation, computed with GGA-PBE.

Computed properties:
* energy: -6.293 eV/atom
* E_form: 475 kJ/mol of formula units
* magnetization: 0.0 μB/cell

Cell lengths 6.2278, 6.2278, 2.9407 Å; angles 102.73, 102.73, 124.74 degrees
Last column: nearest neighbours and their distance in Å.
Sites, in units of the cell vectors:
Ba 0.0000 0.0000 0.0000  4 Au 2.89-2.99, 2 Ba 2.94, 4 Re 3.14
Re 0.0000 0.5000 0.5000  6 Re 2.89-2.99, 2 Ba 3.14, 2 Au 3.14
Re 0.5000 0.0000 0.5000  6 Re 2.89-2.99, 2 Ba 3.14, 2 Au 3.14
Au 0.5000 0.5000 0.0000  4 Ba 2.89-2.99, 2 Au 2.94, 4 Re 3.14

=====

Ac2Sm4Hg3N2 after structural relaxation, computed with GGA-PBE.

Computed properties:
* ΔE_f (raw): -0.69 eV/atom
* energy: -4.745 eV/atom
* magnetization: 0.0 μB/cell

Cell lengths 12.8241, 12.8241, 12.8241 Å; angles 157.65, 157.65, 31.81 degrees
Last column: nearest neighbours and their distance in Å.
Sites, in units of the cell vectors:
Ac 0.1966 0.1966 0.0000  1 N 2.41
Ac 0.8034 0.8034 0.0000  1 N 2.41
Sm 0.0806 0.5806 0.5000  2 N 2.53
Sm 0.4194 0.9194 0.5000  2 N 2.53
Sm 0.5806 0.0806 0.5000  2 N 2.53
Sm 0.9194 0.4194 0.5000  2 N 2.53
Hg 0.3333 0.3333 0.0000  4 Sm 3.27, 5 Ac 3.37-3.59
Hg 0.5000 0.5000 0.0000  8 Sm 3.18
Hg 0.6667 0.6667 0.0000  4 Sm 3.27, 5 Ac 3.37-3.59
N 0.0991 0.0991 0.0000  1 Ac 2.41, 4 Sm 2.53
N 0.9009 0.9009 0.0000  1 Ac 2.41, 4 Sm 2.53

=====

Al2Ni after structural relaxation, computed with GGA-PBE.

Computed properties:
* energy: -4.867 eV/atom
* E_form: -129 kJ/mol of formula units
* magnetization: 0.0 μB/cell

Cell lengths 7.7827, 7.7827, 7.7827 Å; angles 60.00, 60.00, 60.00 degrees
Last column: nearest neighbours and their distance in Å.
Sites, in units of the cell vectors:
Al 0.0000 0.0000 0.0000  6 Ni 2.49, 6 Al 2.72
Al 0.0000 0.0000 0.5000  6 Ni 2.49, 6 Al 2.72
Al 0.0000 0.5000 0.0000  6 Ni 2.49, 6 Al 2.72
Al 0.1732 0.1732 0.5768  4 Ni 2.44-2.68, 2 Al 2.72
Al 0.1732 0.5768 0.1732  4 Ni 2.44-2.68, 2 Al 2.72
Al 0.1732 0.5768 0.5768  4 Ni 2.44-2.68, 2 Al 2.72
Al 0.4232 0.4232 0.8268  4 Ni 2.44-2.68, 2 Al 2.72
Al 0.4232 0.8268 0.4232  4 Ni 2.44-2.68, 2 Al 2.72
Al 0.4232 0.8268 0.8268  4 Ni 2.44-2.68, 2 Al 2.72
Al 0.5000 0.0000 0.0000  6 Ni 2.49, 6 Al 2.72
Al 0.5768 0.1732 0.1732  4 Ni 2.44-2.68, 2 Al 2.72
Al 0.5768 0.1732 0.5768  4 Ni 2.44-2.68, 2 Al 2.72
Al 0.5768 0.5768 0.1732  4 Ni 2.44-2.68, 2 Al 2.72
Al 0.8268 0.4232 0.4232  4 Ni 2.44-2.68, 2 Al 2.72
Al 0.8268 0.4232 0.8268  4 Ni 2.44-2.68, 2 Al 2.72
Al 0.8268 0.8268 0.4232  4 Ni 2.44-2.68, 2 Al 2.72
Ni 0.1672 0.7776 0.7776  9 Al 2.44-2.68
Ni 0.2224 0.2224 0.2224  9 Al 2.44-2.68
Ni 0.2224 0.2224 0.8328  9 Al 2.44-2.68
Ni 0.2224 0.8328 0.2224  9 Al 2.44-2.68
Ni 0.7776 0.1672 0.7776  9 Al 2.44-2.68
Ni 0.7776 0.7776 0.1672  9 Al 2.44-2.68
Ni 0.7776 0.7776 0.7776  9 Al 2.44-2.68
Ni 0.8328 0.2224 0.2224  9 Al 2.44-2.68

=====

SmCu5Rh after structural relaxation, computed with GGA-PBE.

Computed properties:
* energy: -4.852 eV/atom
* E_form: -136 kJ/mol of formula units
* magnetization: 0.0 μB/cell

Cell lengths 8.0920, 5.0162, 10.2535 Å; angles 90.00, 90.00, 90.00 degrees
Last column: nearest neighbours and their distance in Å.
Sites, in units of the cell vectors:
Sm 0.2362 0.2500 0.0670  12 Cu 2.89-3.22, 2 Rh 3.13-3.15
Sm 0.2638 0.7500 0.5670  12 Cu 2.89-3.22, 2 Rh 3.13-3.15
Sm 0.7362 0.2500 0.4330  12 Cu 2.89-3.22, 2 Rh 3.13-3.15
Sm 0.7638 0.7500 0.9330  12 Cu 2.89-3.22, 2 Rh 3.13-3.15
Cu 0.0572 0.7500 0.1000  4 Cu 2.46-2.62, 1 Rh 2.57
Cu 0.0674 0.0044 0.3125  7 Cu 2.45-2.55, 2 Rh 2.71-2.72
Cu 0.0674 0.4956 0.3125  7 Cu 2.45-2.55, 2 Rh 2.71-2.72
Cu 0.0981 0.2500 0.5181  5 Cu 2.45-2.54, 1 Rh 2.69
Cu 0.1832 0.2500 0.7533  7 Cu 2.46-2.62, 2 Rh 2.75
Cu 0.3168 0.7500 0.2533  7 Cu 2.46-2.62, 2 Rh 2.75
Cu 0.4019 0.7500 0.0181  5 Cu 2.45-2.54, 1 Rh 2.69
Cu 0.4326 0.5044 0.8125  7 Cu 2.45-2.55, 2 Rh 2.71-2.72
Cu 0.4326 0.9956 0.8125  7 Cu 2.45-2.55, 2 Rh 2.71-2.72
Cu 0.4428 0.2500 0.6000  4 Cu 2.46-2.62, 1 Rh 2.57
Cu 0.5572 0.7500 0.4000  4 Cu 2.46-2.62, 1 Rh 2.57
Cu 0.5674 0.0044 0.1875  7 Cu 2.45-2.55, 2 Rh 2.71-2.72
Cu 0.5674 0.4956 0.1875  7 Cu 2.45-2.55, 2 Rh 2.71-2.72
Cu 0.5981 0.2500 0.9819  5 Cu 2.45-2.54, 1 Rh 2.69
Cu 0.6832 0.2500 0.7467  7 Cu 2.46-2.62, 2 Rh 2.75
Cu 0.8168 0.7500 0.2467  7 Cu 2.46-2.62, 2 Rh 2.75
Cu 0.9019 0.7500 0.4819  5 Cu 2.45-2.54, 1 Rh 2.69
Cu 0.9326 0.5044 0.6875  7 Cu 2.45-2.55, 2 Rh 2.71-2.72
Cu 0.9326 0.9956 0.6875  7 Cu 2.45-2.55, 2 Rh 2.71-2.72
Cu 0.9428 0.2500 0.9000  4 Cu 2.46-2.62, 1 Rh 2.57
Rh 0.1389 0.7500 0.8575  8 Cu 2.57-2.75
Rh 0.3611 0.2500 0.3575  8 Cu 2.57-2.75
Rh 0.6389 0.7500 0.6425  8 Cu 2.57-2.75
Rh 0.8611 0.2500 0.1425  8 Cu 2.57-2.75

=====

Te6PdRh3 after structural relaxation, computed with GGA-PBE.

Computed properties:
* ΔE_f (raw): -0.35 eV/atom
* energy: -4.962 eV/atom
* magnetization: 0.0 μB/cell

Cell lengths 7.0624, 7.0624, 7.0624 Å; angles 58.33, 58.33, 58.33 degrees
Last column: nearest neighbours and their distance in Å.
Sites, in units of the cell vectors:
Te 0.0002 0.6948 0.3050  3 Rh 2.65-2.73, 1 Pd 2.77
Te 0.2027 0.4925 0.7997  3 Rh 2.66-2.73, 1 Pd 2.70
Te 0.3050 0.0002 0.6948  3 Rh 2.65-2.73, 1 Pd 2.77
Te 0.4925 0.7997 0.2027  3 Rh 2.66-2.73, 1 Pd 2.70
Te 0.6948 0.3050 0.0002  3 Rh 2.65-2.73, 1 Pd 2.77
Te 0.7997 0.2027 0.4925  3 Rh 2.66-2.73, 1 Pd 2.70
Pd 0.8966 0.8966 0.8966  6 Te 2.70-2.77
Rh 0.0992 0.0992 0.0992  6 Te 2.66-2.73
Rh 0.3977 0.3977 0.3977  6 Te 2.65-2.71
Rh 0.6012 0.6012 0.6012  6 Te 2.66-2.73

=====

MgAgP after structural relaxation, computed with GGA-PBE.

Computed properties:
* energy: -3.215 eV/atom
* E_form: 20 kJ/mol of formula units
* magnetization: 0.0 μB/cell

Cell lengths 6.3696, 6.3227, 2.9832 Å; angles 77.28, 75.53, 27.19 degrees
Last column: nearest neighbours and their distance in Å.
Sites, in units of the cell vectors:
Mg 0.0000 0.0000 0.0000  4 P 2.70-2.81, 4 Ag 2.91-3.01, 4 Mg 2.98
Ag 0.6730 0.6730 0.3270  4 Mg 2.91-3.01, 4 P 2.95-3.05, 4 Ag 2.98
P 0.3514 0.3514 0.6486  4 Mg 2.70-2.81, 2 Ag 2.95, 4 P 2.98

=====

PrNd2Pt after structural relaxation, computed with GGA-PBE.

Computed properties:
* energy: -5.557 eV/atom
* E_form: -181 kJ/mol of formula units
* magnetization: 0.0 μB/cell

Cell lengths 9.6827, 9.6827, 9.6827 Å; angles 24.13, 24.13, 24.13 degrees
Last column: nearest neighbours and their distance in Å.
Sites, in units of the cell vectors:
Pr 0.0000 0.0000 0.0000  6 Nd 3.77-3.82, 6 Pr 4.05
Nd 0.5594 0.5594 0.5594  3 Pt 2.90
Nd 0.7716 0.7716 0.7716  3 Pt 2.89
Pt 0.1650 0.1650 0.1650  6 Nd 2.89-2.90

=====

CeSmGdCd after structural relaxation, computed with GGA-PBE.

Computed properties:
* energy: -6.381 eV/atom
* E_form: 12 kJ/mol of formula units
* magnetization: 10.5 μB/cell

Cell lengths 5.4473, 5.4473, 5.4473 Å; angles 60.00, 60.00, 60.00 degrees
Last column: nearest neighbours and their distance in Å.
Sites, in units of the cell vectors:
Ce 0.0000 0.0000 0.0000  4 Gd 3.34, 4 Sm 3.34
Sm 0.2500 0.2500 0.2500  4 Cd 3.34, 4 Ce 3.34
Gd 0.7500 0.7500 0.7500  4 Cd 3.34, 4 Ce 3.34
Cd 0.5000 0.5000 0.5000  4 Sm 3.34, 4 Gd 3.34

=====

Tm4Pd12Pt after structural relaxation, computed with GGA-PBE.

Computed properties:
* energy: -5.836 eV/atom
* E_form: -1252 kJ/mol of formula units
* magnetization: 0.0 μB/cell

Cell lengths 7.3429, 7.3429, 7.3429 Å; angles 109.47, 109.47, 109.47 degrees
Last column: nearest neighbours and their distance in Å.
Sites, in units of the cell vectors:
Tm 0.0000 0.0000 0.5000  12 Pd 3.00-3.03
Tm 0.0000 0.5000 0.0000  12 Pd 3.00-3.03
Tm 0.5000 0.0000 0.0000  12 Pd 3.00-3.03
Tm 0.5000 0.5000 0.5000  12 Pd 3.00-3.03
Pd 0.0000 0.3010 0.3010  1 Pt 2.55, 4 Pd 2.71
Pd 0.0000 0.6990 0.6990  1 Pt 2.55, 4 Pd 2.71
Pd 0.2500 0.5000 0.7500  8 Pd 2.71-3.00, 4 Tm 3.00
Pd 0.2500 0.7500 0.5000  8 Pd 2.71-3.00, 4 Tm 3.00
Pd 0.3010 0.0000 0.3010  1 Pt 2.55, 4 Pd 2.71
Pd 0.3010 0.3010 0.0000  1 Pt 2.55, 4 Pd 2.71
Pd 0.5000 0.2500 0.7500  8 Pd 2.71-3.00, 4 Tm 3.00
Pd 0.5000 0.7500 0.2500  8 Pd 2.71-3.00, 4 Tm 3.00
Pd 0.6990 0.0000 0.6990  1 Pt 2.55, 4 Pd 2.71
Pd 0.6990 0.6990 0.0000  1 Pt 2.55, 4 Pd 2.71
Pd 0.7500 0.2500 0.5000  8 Pd 2.71-3.00, 4 Tm 3.00
Pd 0.7500 0.5000 0.2500  8 Pd 2.71-3.00, 4 Tm 3.00
Pt 0.0000 0.0000 0.0000  6 Pd 2.55

=====

BaGeTe2Ru after structural relaxation, computed with GGA-PBE.

Computed properties:
* ΔE_f (raw): -0.05 eV/atom
* energy: -4.467 eV/atom
* magnetization: 0.0 μB/cell

Cell lengths 5.5049, 5.5049, 4.6535 Å; angles 90.00, 90.00, 90.00 degrees
Last column: nearest neighbours and their distance in Å.
Sites, in units of the cell vectors:
Ba 0.0000 0.0000 0.0000  8 Te 3.60, 4 Ru 3.89
Ge 0.5000 0.5000 0.5000  2 Ru 2.33
Te 0.0000 0.5000 0.5000  2 Ge 2.75
Te 0.5000 0.0000 0.5000  2 Ge 2.75
Ru 0.5000 0.5000 0.0000  2 Ge 2.33

=====

Cd4In2Hg3 after structural relaxation, computed with GGA-PBE.

Computed properties:
* energy: -1.093 eV/atom
* E_form: 20 kJ/mol of formula units
* magnetization: 0.0 μB/cell

Cell lengths 5.7750, 5.7750, 9.0402 Å; angles 103.47, 103.47, 50.26 degrees
Last column: nearest neighbours and their distance in Å.
Sites, in units of the cell vectors:
Cd 0.0157 0.0157 0.1687  1 Cd 2.98, 3 Hg 3.04-3.21, 2 In 3.30
Cd 0.3228 0.3228 0.6060  2 Hg 2.97-3.26, 2 In 3.06-3.31, 2 Cd 3.24
Cd 0.6772 0.6772 0.3940  2 Hg 2.97-3.26, 2 In 3.06-3.31, 2 Cd 3.24
Cd 0.9843 0.9843 0.8313  1 Cd 2.98, 3 Hg 3.04-3.21, 2 In 3.30
In 0.3498 0.3498 0.2773  5 Hg 3.03-3.38, 7 Cd 3.06-3.38
In 0.6502 0.6502 0.7227  5 Hg 3.03-3.38, 7 Cd 3.06-3.38
Hg 0.0000 0.0000 0.5000  8 Cd 3.04-3.36, 4 In 3.30
Hg 0.3301 0.3301 0.9369  3 Cd 2.97-3.21, 1 In 3.03
Hg 0.6699 0.6699 0.0631  3 Cd 2.97-3.21, 1 In 3.03

=====

Ce2NdRu after structural relaxation, computed with GGA-PBE.

Computed properties:
* energy: -6.563 eV/atom
* E_form: -33 kJ/mol of formula units
* magnetization: 0.8 μB/cell

Cell lengths 3.5803, 3.5803, 8.2122 Å; angles 90.00, 90.00, 90.00 degrees
Last column: nearest neighbours and their distance in Å.
Sites, in units of the cell vectors:
Ce 0.0000 0.0000 0.1877  4 Ru 2.96, 1 Ce 3.08
Ce 0.0000 0.0000 0.8123  4 Ru 2.96, 1 Ce 3.08
Nd 0.5000 0.5000 0.5000  4 Nd 3.58, 8 Ce 3.60
Ru 0.5000 0.5000 0.0000  8 Ce 2.96